Computed, not measured: a geometry-optimized Pr6Nd12In structure at the PBE level of DFT.

Lattice parameters (Å, degrees): 8.754 8.754 8.754 88.91 88.91 88.91
Element x y z (fractional)
Pr (0.260, 0.096, 0.704)
Nd (0.640, 0.984, 0.819)
Pr (0.740, 0.904, 0.296)
Nd (0.360, 0.016, 0.181)
Nd (0.567, 0.218, 0.465)
Pr (0.704, 0.260, 0.096)
In (0.000, 0.000, 0.000)
Pr (0.096, 0.704, 0.260)
Nd (0.782, 0.535, 0.433)
Nd (0.535, 0.433, 0.782)
Nd (0.465, 0.567, 0.218)
Nd (0.819, 0.640, 0.984)
Pr (0.296, 0.740, 0.904)
Nd (0.433, 0.782, 0.535)
Nd (0.016, 0.181, 0.360)
Pr (0.904, 0.296, 0.740)
Nd (0.984, 0.819, 0.640)
Nd (0.181, 0.360, 0.016)
Nd (0.218, 0.465, 0.567)

Computed properties:
Formation energy (eV per atom): 0.053
VASP energy (eV/atom): -4.61
Density (Mg/m³): 6.67
M_tot (μB per formula unit): 0.00